Computed, not measured: crystalline Sr2CdIn at its relaxed geometry at the GGA-PBEsol level of DFT.

The value obtained for the electronic total energy is -18.3 eV/cell. The value obtained for the density of states at the Fermi level is 0.55 states/eV per atom. The total magnetization comes out at 0.00 μB per cell. The formation energy comes out at -324 meV per atom. Its distance to the lowest polymorph of the same formula is 0.075 eV/atom.

It has space group Cm (No. 8), with a = 12.788 Å, b = 3.824 Å, c = 5.659 Å, α = 90.00°, β = 113.78° and γ = 90.00°. The inequivalent atoms are Sr at (0.000, 0.000, 0.000), Sr at (0.199, 0.000, 0.681), Cd at (0.249, 0.500, 0.225) and In at (0.441, 0.000, 0.448).